Here is an optimized crystal structure of HfZnSn2 from Alexandria via LeMat-Bulk. Energies are from GGA-PBE.

abc: 3.814 3.814 5.976
angles: 90.00 90.00 90.00
Sites, in units of the cell vectors:
Hf (0.000, 0.000, 0.000)
Zn (0.000, 0.000, 0.500)
Sn (0.500, 0.500, 0.249)
Sn (0.500, 0.500, 0.751)

Summary:
As for the crystal system: tetragonal. As for the space-group type: P4/mmm. Its density of states at the Fermi level is 2.54 states/eV/f.u. Its total energy is -4.8967 eV/atom.

Here is an optimized crystal structure of NdSmMg2Hg4 from Alexandria via LeMat-Bulk. Energies are from GGA-PBE.

abc: 8.947 8.947 8.947
angles: 33.47 33.47 33.47
Sites, in units of the cell vectors:
Nd (0.000, 0.000, 0.000)
Sm (0.500, 0.500, 0.500)
Mg (0.250, 0.250, 0.250)
Mg (0.750, 0.750, 0.750)
Hg (0.126, 0.126, 0.126)
Hg (0.376, 0.376, 0.376)
Hg (0.624, 0.624, 0.624)
Hg (0.874, 0.874, 0.874)

Summary:
As for the crystal system: trigonal. As for the space-group type: R-3m. Its density of states at the Fermi level is 2.53 states/eV/f.u. Its total energy is -2.2078 eV/atom.

Here is an optimized crystal structure of V2PtWN from Alexandria via LeMat-Bulk. Energies are from GGA-PBE.

abc: 3.969 3.969 4.075
angles: 90.00 90.00 90.00
Sites, in units of the cell vectors:
V (0.000, 0.500, 0.000)
V (0.500, 0.000, 0.000)
Pt (0.000, 0.000, 0.500)
W (0.500, 0.500, 0.500)
N (0.500, 0.500, 0.000)

Summary:
As for the crystal system: tetragonal. As for the space-group type: P4/mmm. The calculation puts the energy relative to the elements, uncorrected at -0.56 eV per atom. Its density of states at the Fermi level is 5.97 states/eV/f.u. Its total energy is -9.6697 eV/atom.